! Ce2SmDy3Se6, relaxed, DFT PBE; values from VASP
&SYSTEM
  ibrav = 0, nat = 12, ntyp = 4
/
ATOMIC_SPECIES
Ce 140.12 Ce.upf
Sm 150.36 Sm.upf
Dy 162.50 Dy.upf
Se 78.96 Se.upf
CELL_PARAMETERS angstrom
7.1215 -0.0063 -0.0011
-3.5645 6.1653 -0.0011
-1.1878 -2.0566 6.8278
ATOMIC_POSITIONS angstrom
Ce -0.0002 4.1068 -0.0011
Ce 3.5572 2.0522 -0.0011
Sm 0.0000 0.0000 0.0000
Dy -2.3958 4.1190 3.4128
Dy 4.7650 -0.0166 3.4128
Dy 1.1846 2.0512 3.4128
Se 3.5564 2.0516 5.0427
Se 2.3728 4.1085 1.7731
Se -1.1871 2.0507 1.7830
Se -0.0003 4.1057 5.0427
Se -0.0036 -0.0062 5.0525
Se 2.3695 -0.0034 1.7830
! symmetry	C2/m
! total magnetic moment	1.92	μB/f.u.
! raw formation energy	-21.54	eV per formula unit

---

! Ce3Sm2DySe6, relaxed, DFT PBE; values from VASP
&SYSTEM
  ibrav = 0, nat = 12, ntyp = 4
/
ATOMIC_SPECIES
Ce 140.12 Ce.upf
Sm 150.36 Sm.upf
Dy 162.50 Dy.upf
Se 78.96 Se.upf
CELL_PARAMETERS angstrom
7.2055 -0.0036 -0.0007
-3.6041 6.2394 -0.0007
-1.2020 -2.0812 6.8575
ATOMIC_POSITIONS angstrom
Ce -2.3767 4.1428 3.4281
Ce 4.7761 0.0118 3.4281
Ce 1.1997 2.0773 3.4281
Sm 0.0025 4.1565 -0.0007
Sm 3.5989 2.0794 -0.0007
Dy 0.0000 0.0000 0.0000
Se 3.5832 2.1089 5.1903
Se 2.4204 4.1908 1.6835
Se -1.1838 2.0457 1.6660
Se 0.0359 4.1576 5.1903
Se -0.0209 -0.0362 5.1727
Se 2.3635 -0.0030 1.6660
! symmetry	C2/m
! total magnetic moment	2.96	μB/f.u.
! raw formation energy	-21.80	eV per formula unit

---

! CeSmDy2Se4, relaxed, DFT PBE; values from VASP
&SYSTEM
  ibrav = 0, nat = 8, ntyp = 4
/
ATOMIC_SPECIES
Ce 140.12 Ce.upf
Sm 150.36 Sm.upf
Dy 162.50 Dy.upf
Se 78.96 Se.upf
CELL_PARAMETERS angstrom
-0.4846 4.0376 0.4524
-4.9880 -0.0128 -5.2280
-6.4128 -1.0966 2.9179
ATOMIC_POSITIONS angstrom
Ce -2.7363 2.0124 -2.3878
Sm -5.7004 -0.5547 -1.1550
Dy -6.4128 -1.0966 2.9179
Dy -3.4487 1.4705 1.6852
Se -8.5742 -0.8270 -1.8030
Se -3.3111 3.7552 -0.0547
Se -5.6196 1.7376 -3.0241
Se -6.2657 1.1905 1.1665
! symmetry	P2/m
! total magnetic moment	1.01	μB/f.u.
! raw formation energy	-14.34	eV per formula unit

---

! Sr2CeDySe4, relaxed, DFT PBE; values from VASP
&SYSTEM
  ibrav = 0, nat = 8, ntyp = 4
/
ATOMIC_SPECIES
Sr 87.62 Sr.upf
Ce 140.12 Ce.upf
Dy 162.50 Dy.upf
Se 78.96 Se.upf
CELL_PARAMETERS angstrom
-0.7657 -1.6415 -3.8440
-4.3823 -5.0796 3.0421
-4.1209 6.0493 -1.7624
ATOMIC_POSITIONS angstrom
Sr -2.4433 2.2039 -2.8032
Sr -4.2516 0.4848 0.6398
Ce -2.5740 -3.3606 -0.4009
Dy 0.0000 0.0000 0.0000
Se -2.3866 -0.6212 -1.6081
Se -6.8823 -0.0507 -0.9562
Se -4.2247 3.3538 -0.5906
Se -4.2784 -2.3842 1.8703
! symmetry	P2/m
! total magnetic moment	1.46	μB/f.u.
! raw formation energy	-14.98	eV per formula unit

---

! SrCe2DySe4, relaxed, DFT PBE; values from VASP
&SYSTEM
  ibrav = 0, nat = 8, ntyp = 4
/
ATOMIC_SPECIES
Sr 87.62 Sr.upf
Ce 140.12 Ce.upf
Dy 162.50 Dy.upf
Se 78.96 Se.upf
CELL_PARAMETERS angstrom
-3.0468 0.4822 2.8446
2.6097 -5.7540 3.7707
4.9263 2.3711 4.8746
ATOMIC_POSITIONS angstrom
Sr -0.2185 -2.6359 3.3076
Ce 4.9263 2.3711 4.8746
Ce 0.9397 1.4266 3.8596
Dy 3.7680 -1.6914 4.3226
Se 5.6058 -2.5589 6.4382
Se -1.1166 -0.3419 5.0517
Se 1.7015 -3.4172 5.4966
Se 2.7877 0.5164 5.9932
! symmetry	P2/m
! total magnetic moment	0.03	μB/f.u.
! raw formation energy	-14.46	eV per formula unit

---

! TbCeDy4Se8, relaxed, DFT PBE; values from VASP
&SYSTEM
  ibrav = 0, nat = 14, ntyp = 4
/
ATOMIC_SPECIES
Tb 158.93 Tb.upf
Ce 140.12 Ce.upf
Dy 162.50 Dy.upf
Se 78.96 Se.upf
CELL_PARAMETERS angstrom
8.4826 0.0000 0.0000
4.2413 7.3462 0.0000
4.2413 2.4487 6.9380
ATOMIC_POSITIONS angstrom
Tb 12.7239 7.3462 0.0041
Ce 8.4826 4.8974 6.0774
Dy 8.4826 4.8974 0.8635
Dy 12.7239 4.9023 3.4671
Dy 10.6075 8.5681 3.4671
Dy 14.8404 8.5681 3.4671
Se 8.4826 7.5682 5.1133
Se 10.7956 3.5621 5.1133
Se 6.1697 3.5621 5.1133
Se 4.2413 2.4487 1.9821
Se 8.4826 2.3141 1.7928
Se 6.2454 6.1891 1.7928
Se 10.7198 6.1891 1.7928
Se 12.7239 7.3462 5.0506
! symmetry	R3m
! total magnetic moment	1.70	μB/f.u.
! raw formation energy	-23.83	eV per formula unit

---

So what do the calculations give for calculated density? Going down the list: 7714; 7313; 7757; 5914; 6574; 6071 kg/m³.
So what do the calculations give for D(E_F)? Going down the list: 1.194; 1.620; 1.091; 1.077; 1.867; 0.981 states/eV per atom.